# 1
First-principles (PBE-GGA) data for a relaxed structure of KZn2MoSe, as listed in Alexandria.

Calculated values
total DFT energy (no corrections)	-2.6435	eV per atom
raw formation energy	0.95	eV/atom

a = 5.100 Å, b = 6.422 Å, c = 5.100 Å
α = 90.00°, β = 90.00°, γ = 90.00°
Sites, in units of the cell vectors:
Se1 0.500 0.500 0.500
Zn1 0.500 0.000 0.000
Mo1 0.000 0.000 0.000
K1 0.000 0.500 0.000
Zn2 0.000 0.000 0.500

***

# 2
First-principles (PBE-GGA) data for a relaxed structure of BeIrBr, as listed in Alexandria.

Calculated values
total DFT energy (no corrections)	-4.9317	eV per atom
polymorph energy (0 for the lowest one)	0.37	eV per formula unit
raw formation energy	-0.18	eV/atom

a = 3.458 Å, b = 3.916 Å, c = 9.933 Å
α = 88.34°, β = 80.44°, γ = 63.80°
Sites, in units of the cell vectors:
Ir1 0.674 0.921 0.209
Be1 0.347 0.719 0.058
Br1 0.143 0.805 0.396
Ir2 0.690 0.122 0.965
Be2 0.017 0.324 0.116
Br2 0.222 0.237 0.778

***

# 3
First-principles (PBE-GGA) data for a relaxed structure of Ca6InPd2, as listed in Alexandria.

Calculated values
total DFT energy (no corrections)	-3.2764	eV per atom

a = 8.879 Å, b = 8.879 Å, c = 8.879 Å
α = 102.41°, β = 112.68°, γ = 113.55°
Sites, in units of the cell vectors:
Ca1 0.196 0.758 0.954
Ca2 0.889 0.708 0.181
Ca3 0.196 0.242 0.437
Ca4 0.312 0.648 0.336
Pd1 0.500 0.630 0.130
Ca5 0.111 0.292 0.819
Pd2 0.674 0.000 0.674
Ca6 0.688 0.024 0.336
Ca7 0.688 0.352 0.664
In1 0.000 0.500 0.500
Ca8 0.312 0.976 0.664
Ca9 0.472 0.292 0.181
Pd3 0.500 0.370 0.870
Pd4 0.326 0.000 0.326
Ca10 0.528 0.708 0.819
Ca11 0.804 0.242 0.046
Ca12 0.804 0.758 0.563
In2 0.000 0.000 0.000

***

no.,total magnetic moment (μB per cell),theoretical density (kg/m3)
1,4.59,3428
2,0.00,7857
3,0.00,3542